Density functional theory data (GGA-PBE) for a relaxed structure of AcIn2Hg4.

The space group is R-3m (No. 166, hexagonal axes) and the conventional cell measures 5.1689, 5.1689 and 25.7840 Å, with angles of 90.00, 90.00 and 120.00 degrees. The asymmetric unit holds Ac at (0.0000, 0.0000, 0.0000), In at (0.0000, 0.0000, 0.2515), Hg at (0.0000, 0.0000, 0.1374) and Hg at (0.0000, 0.0000, 0.3959).

Its energy above the most stable polymorph in this dataset is 0 meV/atom. The value obtained for the spin magnetization is 0.00 μB/cell.



Density functional theory data (GGA-PBE) for a relaxed structure of Ac3InHg3.

The space group is C2/m (No. 12) and the conventional cell measures 12.104, 4.847 and 16.572 Å, with angles of 90.00, 109.52 and 90.00 degrees. The asymmetric unit holds Ac at (0.031, 0.000, 0.386), Ac at (0.101, 0.000, 0.922), Ac at (0.242, 0.000, 0.227), In at (0.239, 0.500, 0.389), Hg at (0.021, 0.500, 0.231), Hg at (0.120, 0.500, 0.076) and Hg at (0.135, 0.500, 0.539).

Its energy above the most stable polymorph in this dataset is 0 meV/atom. The value obtained for the spin magnetization is 0.00 μB/cell.



Density functional theory data (GGA-PBE) for a relaxed structure of AcIn15Hg4.

The space group is P4/mmm (No. 123) and the conventional cell measures 4.733, 4.733 and 24.273 Å, with angles of 90.00, 90.00 and 90.00 degrees. The asymmetric unit holds Ac at (0.000, 0.000, 0.000), In at (0.000, 0.500, 0.107), In at (0.000, 0.500, 0.303), In at (0.000, 0.500, 0.500), In at (0.500, 0.500, 0.000), In at (0.500, 0.500, 0.205), In at (0.500, 0.500, 0.403), Hg at (0.000, 0.000, 0.202) and Hg at (0.000, 0.000, 0.403).

The value obtained for the total energy is -2.37 eV/atom. The value obtained for the spin magnetization is 0.00 μB/cell.



Density functional theory data (GGA-PBE) for a relaxed structure of Ac8In2Hg.

The space group is C2/m (No. 12) and the conventional cell measures 20.630, 5.689 and 7.599 Å, with angles of 90.00, 102.74 and 90.00 degrees. The asymmetric unit holds Ac at (0.019, 0.000, 0.268), Ac at (0.093, 0.500, 0.962), Ac at (0.158, 0.500, 0.472), Ac at (0.207, 0.000, 0.808), In at (0.186, 0.000, 0.243) and Hg at (0.000, 0.500, 0.500).

Its energy above the most stable polymorph in this dataset is 0 meV/atom. The value obtained for the spin magnetization is 0.00 μB/cell.



Density functional theory data (GGA-PBE) for a relaxed structure of AcInHg4.

The space group is F-43m (No. 216) and the conventional cell measures 8.742, 8.742 and 8.742 Å, with angles of 90.00, 90.00 and 90.00 degrees. The asymmetric unit holds Ac at (0.000, 0.000, 0.000), In at (0.250, 0.250, 0.250) and Hg at (0.125, 0.125, 0.625).

Its energy above the most stable polymorph in this dataset is 90 meV/atom. The value obtained for the spin magnetization is 0.00 μB/cell.



Density functional theory data (GGA-PBE) for a relaxed structure of Ac12InHg6.

The space group is Im-3 (No. 204) and the conventional cell measures 11.281, 11.281 and 11.281 Å, with angles of 90.00, 90.00 and 90.00 degrees. The asymmetric unit holds Ac at (0.000, 0.183, 0.286), In at (0.000, 0.000, 0.000) and Hg at (0.000, 0.368, 0.500).

The value obtained for the total energy is -3.09 eV/atom. The value obtained for the spin magnetization is 0.00 μB/cell.